Entry from Alexandria: crystalline Tm3Zn2SiNi9 at its relaxed geometry (GGA-PBE).

The space group is P-3m1 (No. 164) and the conventional cell measures 5.9853, 5.9853 and 8.0919 Å, with angles of 90.00, 90.00 and 120.00 degrees. The asymmetric unit holds Tm at (0.0000, 0.0000, 0.0000), Tm at (0.3333, 0.6667, 0.7052), Zn at (0.3333, 0.6667, 0.1941), Si at (0.0000, 0.0000, 0.5000), Ni at (0.0000, 0.5000, 0.0000) and Ni at (0.1331, 0.2662, 0.2864).

The total magnetic moment is 0.00 μB/atom. The volume comes out at 16.74 Å³/atom. The calculation puts the uncorrected formation energy at -0.08 eV per atom.